First-principles (PBE-GGA) data for a relaxed structure of HgSb, as listed in Alexandria.

```
data_HgSb
_space_group_name_H-M_alt 'I 4/m'
_space_group_IT_number 87
_space_group_name_Hall '-I 4'
_cell_length_a 11.5162
_cell_length_b 11.5162
_cell_length_c 3.4553
_cell_angle_alpha 90.00
_cell_angle_beta 90.00
_cell_angle_gamma 90.00
loop_
_atom_site_label
_atom_site_fract_x
_atom_site_fract_y
_atom_site_fract_z
Hg1 0.1214 0.1416 0.0000
Sb1 0.1094 0.3772 0.5000
```

Calculated values
Offset from the most stable computed form = 0.27 eV/f.u.
Raw formation energy = 0.33 eV per formula unit
Calculated density = 9.345 g/cm3
Total moment = 0.00 μB/f.u.